VASP calculation (PBE) on La2TbOs after structural relaxation. Values from VASP.

```
&SYSTEM
  ibrav = 0, nat = 16, ntyp = 3
/
ATOMIC_SPECIES
La 138.91 La.upf
Tb 158.93 Tb.upf
Os 190.23 Os.upf
ATOMIC_POSITIONS crystal
La 0.172 0.675 0.067
La 0.328 0.175 0.433
La 0.828 0.325 0.567
La 0.672 0.825 0.933
La 0.828 0.325 0.933
La 0.672 0.825 0.567
La 0.172 0.675 0.433
La 0.328 0.175 0.067
Tb 0.648 0.544 0.250
Tb 0.852 0.044 0.250
Tb 0.352 0.456 0.750
Tb 0.148 0.956 0.750
Os 0.050 0.385 0.250
Os 0.450 0.885 0.250
Os 0.950 0.615 0.750
Os 0.550 0.115 0.750
CELL_PARAMETERS angstrom
-2.256 -4.079 -4.469
1.729 -5.777 4.399
-8.902 0.447 4.086
```

## Properties
As for the crystal system: orthorhombic. For the mass density, the calculation gives 8.81 Mg/m³. The polymorph energy (0 for the lowest one) comes out at 0 meV/atom. The value obtained for the total energy is -105.44 eV per cell. The size of the total moment comes out at 0.00 μB/cell.

***

VASP calculation (PBE) on LaTb2Os after structural relaxation. Values from VASP.

```
&SYSTEM
  ibrav = 0, nat = 16, ntyp = 3
/
ATOMIC_SPECIES
La 138.91 La.upf
Tb 158.93 Tb.upf
Os 190.23 Os.upf
ATOMIC_POSITIONS crystal
La 0.635 0.548 0.250
La 0.865 0.048 0.250
La 0.365 0.452 0.750
La 0.135 0.952 0.750
Tb 0.166 0.672 0.067
Tb 0.334 0.172 0.433
Tb 0.834 0.328 0.567
Tb 0.666 0.828 0.933
Tb 0.834 0.328 0.933
Tb 0.666 0.828 0.567
Tb 0.166 0.672 0.433
Tb 0.334 0.172 0.067
Os 0.048 0.380 0.250
Os 0.452 0.880 0.250
Os 0.952 0.620 0.750
Os 0.548 0.120 0.750
CELL_PARAMETERS angstrom
6.507 0.000 0.000
0.000 7.430 0.000
0.000 0.000 9.370
```

## Properties
As for the crystal system: orthorhombic. For the mass density, the calculation gives 9.49 Mg/m³. The polymorph energy (0 for the lowest one) comes out at 0 meV/atom. The value obtained for the total energy is -104.95 eV per cell. The size of the total moment comes out at 0.00 μB/cell.

***

VASP calculation (PBE) on LaTc2Os after structural relaxation. Values from VASP.

```
&SYSTEM
  ibrav = 0, nat = 4, ntyp = 3
/
ATOMIC_SPECIES
La 138.91 La.upf
Os 190.23 Os.upf
Tc 98.00 Tc.upf
ATOMIC_POSITIONS crystal
La 0.750 0.750 0.750
Os 0.250 0.250 0.250
Tc 0.969 0.969 0.082
Tc 0.531 0.531 0.418
CELL_PARAMETERS angstrom
-1.197 -4.849 -1.032
1.012 -3.997 -3.003
3.554 -2.862 2.746
```

## Properties
As for the crystal system: monoclinic. For the mass density, the calculation gives 11.32 Mg/m³. The polymorph energy (0 for the lowest one) comes out at 73 meV/atom. The value obtained for the total energy is -35.32 eV per cell. The size of the total moment comes out at 0.00 μB/cell.

***

no.,energy of formation (eV/atom)
1,-0.16
2,-0.20
3,0.39